4
Lattice="2.172 1.254 7.842 -2.172 1.254 7.842 0.000 -2.508 7.842" Properties=species:S:1:pos:R:3 comment="Ac2OsCl PBE-GGA relaxed" de_polymorph_ev_per_atom=0.000 sg="R-3m, No. 166" pbc="T T T"
Ac 0.000 0.000 5.505
Ac 0.000 0.000 18.022
Os 0.000 0.000 11.764
Cl 0.000 0.000 0.000

***

9
Lattice="7.060 -2.194 0.000 7.060 2.194 0.000 -4.198 0.000 11.270" Properties=species:S:1:pos:R:3 comment="Ac6Os2Cl PBE-GGA relaxed" sg="C2/m, No. 12" pbc="T T T"
Ac -0.892 0.000 3.085
Ac 0.733 0.000 10.134
Ac 2.786 0.000 4.631
Ac 7.135 0.000 6.639
Ac 9.188 0.000 1.136
Ac 10.813 0.000 8.185
Os 1.919 0.000 7.599
Os 8.002 0.000 3.671
Cl 0.000 0.000 0.000

***

4
Lattice="3.614 0.000 0.000 0.000 3.614 0.000 0.000 0.000 8.524" Properties=species:S:1:pos:R:3 comment="Ac2OsCl PBE-GGA relaxed" de_polymorph_ev_per_atom=0.109 sg="P4/mmm, No. 123" pbc="T T T"
Ac 0.000 0.000 1.847
Ac 0.000 0.000 6.677
Os 1.807 1.807 0.000
Cl 1.807 1.807 4.262

***

6
Lattice="3.763 -2.171 0.000 3.763 2.171 0.000 -2.542 0.000 11.272" Properties=species:S:1:pos:R:3 comment="AcOsCl PBE-GGA relaxed" de_polymorph_ev_per_atom=0.000 sg="Cm, No. 8" pbc="T T T"
Ac 0.000 0.000 0.000
Ac 0.000 0.000 4.369
Os 2.510 0.000 2.183
Os 5.017 0.000 2.184
Cl -0.036 0.000 9.476
Cl 2.506 0.000 6.161

***

Number 1: uncorrected formation energy -0.78 eV per atom, Fermi-level density of states 0.62 states/eV per atom, E -24.4 eV per cell. Number 2: uncorrected formation energy -0.33 eV per atom, Fermi-level density of states 0.86 states/eV per atom, E -52.0 eV per cell. Number 3: uncorrected formation energy -0.67 eV per atom, Fermi-level density of states 0.67 states/eV per atom, E -24.0 eV per cell. Number 4: uncorrected formation energy -1.13 eV per atom, Fermi-level density of states 0.48 states/eV per atom, E -41.1 eV per cell.